# 1
A geometry-optimized TaSi2Ni structure, computed with GGA-PBEsol.

The structure in CIF format:
```
data_TaSi2Ni
_chemical_formula_sum 'Ta1 Si2 Ni1'
_symmetry_space_group_name_H-M 'P 4/m m m'
_symmetry_Int_Tables_number 123
_symmetry_space_group_name_Hall '-P 4 2'
_cell_length_a 3.870
_cell_length_b 3.870
_cell_length_c 3.509
_cell_angle_alpha 90.00
_cell_angle_beta 90.00
_cell_angle_gamma 90.00
loop_
_atom_site_label
_atom_site_fract_x
_atom_site_fract_y
_atom_site_fract_z
_atom_site_occupancy
Ta1 0.000 0.000 0.000 1
Si1 0.000 0.500 0.500 1
Ni1 0.500 0.500 0.000 1
```

## Properties
formation energy without anion corrections = -0.339 eV/atom
crystal system = tetragonal
calculated volume = 13.14 Å³/atom

# 2
A geometry-optimized Ta2SiNi structure, computed with GGA-PBEsol.

The structure in CIF format:
```
data_Ta2SiNi
_chemical_formula_sum 'Ta2 Si1 Ni1'
_symmetry_space_group_name_H-M 'P 4 m m'
_symmetry_Int_Tables_number 99
_cell_length_a 3.311
_cell_length_b 3.311
_cell_length_c 5.442
_cell_angle_alpha 90.00
_cell_angle_beta 90.00
_cell_angle_gamma 90.00
loop_
_symmetry_equiv_pos_as_xyz
'x,y,z'
'-y,x,z'
'-x,-y,z'
'y,-x,z'
'-x,y,z'
'y,x,z'
'x,-y,z'
'-y,-x,z'
loop_
_atom_site_label
_atom_site_fract_x
_atom_site_fract_y
_atom_site_fract_z
_atom_site_occupancy
Ta1 0.000 0.000 0.000 1
Ta2 0.500 0.500 0.285 1
Si1 0.500 0.500 0.767 1
Ni1 0.000 0.000 0.523 1
```

## Properties
formation energy without anion corrections = -0.194 eV/atom
crystal system = tetragonal
calculated volume = 14.91 Å³/atom

# 3
A geometry-optimized Ta2SiNi3 structure, computed with GGA-PBEsol.

The structure in CIF format:
```
data_Ta2SiNi3
_chemical_formula_sum 'Ta4 Si2 Ni6'
_symmetry_space_group_name_H-M 'P 63/m m c'
_symmetry_Int_Tables_number 194
_symmetry_space_group_name_Hall '-P 6c 2c'
_cell_length_a 4.7997
_cell_length_b 4.7997
_cell_length_c 7.5893
_cell_angle_alpha 90.00
_cell_angle_beta 90.00
_cell_angle_gamma 120.00
loop_
_atom_site_label
_atom_site_fract_x
_atom_site_fract_y
_atom_site_fract_z
_atom_site_occupancy
Ta1 0.3333 0.6667 0.0573 1
Si1 0.0000 0.0000 0.0000 1
Ni1 0.1692 0.3383 0.7500 1
```

## Properties
formation energy without anion corrections = -0.523 eV/atom
crystal system = hexagonal
calculated volume = 12.62 Å³/atom

# 4
A geometry-optimized Ta2SiNi structure, computed with GGA-PBEsol.

The structure in CIF format:
```
data_Ta2SiNi
_chemical_formula_sum 'Ta4 Si2 Ni2'
_symmetry_space_group_name_H-M 'I m m m'
_symmetry_Int_Tables_number 71
_symmetry_space_group_name_Hall '-I 2 2'
_cell_length_a 3.901
_cell_length_b 3.933
_cell_length_c 7.529
_cell_angle_alpha 90.00
_cell_angle_beta 90.00
_cell_angle_gamma 90.00
loop_
_atom_site_label
_atom_site_fract_x
_atom_site_fract_y
_atom_site_fract_z
_atom_site_occupancy
Ta1 0.000 0.000 0.250 1
Si1 0.000 0.500 0.000 1
Ni1 0.000 0.500 0.500 1
```

## Properties
formation energy without anion corrections = -0.343 eV/atom
crystal system = orthorhombic
calculated volume = 14.44 Å³/atom

# 5
A geometry-optimized Ta2SiNi structure, computed with GGA-PBEsol.

The structure in CIF format:
```
data_Ta2SiNi
_chemical_formula_sum 'Ta4 Si2 Ni2'
_symmetry_space_group_name_H-M 'C m m m'
_symmetry_Int_Tables_number 65
_symmetry_space_group_name_Hall '-C 2 2'
_cell_length_a 3.723
_cell_length_b 4.171
_cell_length_c 7.438
_cell_angle_alpha 90.00
_cell_angle_beta 90.00
_cell_angle_gamma 90.00
loop_
_atom_site_label
_atom_site_fract_x
_atom_site_fract_y
_atom_site_fract_z
_atom_site_occupancy
Ta1 0.000 0.000 0.247 1
Si1 0.000 0.500 0.500 1
Ni1 0.000 0.500 0.000 1
```

## Properties
formation energy without anion corrections = -0.254 eV/atom
crystal system = orthorhombic
calculated volume = 14.44 Å³/atom

# 6
A geometry-optimized TaSi2Ni structure, computed with GGA-PBEsol.

The structure in CIF format:
```
data_TaSi2Ni
_chemical_formula_sum 'Ta4 Si8 Ni4'
_symmetry_space_group_name_H-M 'I -4 2 d'
_symmetry_Int_Tables_number 122
_symmetry_space_group_name_Hall 'I -4 2bw'
_cell_length_a 6.485
_cell_length_b 6.485
_cell_length_c 5.403
_cell_angle_alpha 90.00
_cell_angle_beta 90.00
_cell_angle_gamma 90.00
loop_
_atom_site_label
_atom_site_fract_x
_atom_site_fract_y
_atom_site_fract_z
_atom_site_occupancy
Ta1 0.000 0.000 0.000 1
Si1 0.203 0.250 0.625 1
Ni1 0.000 0.000 0.500 1
```

## Properties
formation energy without anion corrections = -0.107 eV/atom
crystal system = tetragonal
calculated volume = 14.20 Å³/atom